# CaReC2, single point on PBEsol structure, DFT SCAN
# - Electronic total energy: -24.9719 eV/atom
# - D(E_F): 0.4177 states/eV/atom
data_CaReC2
_chemical_formula_sum 'Ca4 Re4 C8'
_cell_length_a 5.1730
_cell_length_b 5.1730
_cell_length_c 9.6355
_cell_angle_alpha 90.00
_cell_angle_beta 90.00
_cell_angle_gamma 90.00
_space_group_name_H-M_alt 'I -4 2 d'
_space_group_IT_number 122
_space_group_name_Hall 'I -4 2bw'
loop_
_atom_site_label
_atom_site_type_symbol
_atom_site_fract_x
_atom_site_fract_y
_atom_site_fract_z
Ca1 Ca 0.0000 0.0000 0.0000
Re1 Re 0.0000 0.0000 0.5000
C1 C 0.1467 0.2500 0.6250

---

# CaReC3, single point on PBEsol structure, DFT SCAN
# - Electronic total energy: -18.2289 eV/atom
# - D(E_F): 0.5761 states/eV/atom
data_CaReC3
_chemical_formula_sum 'Ca1 Re1 C3'
_cell_length_a 3.9870
_cell_length_b 3.9870
_cell_length_c 3.9870
_cell_angle_alpha 90.00
_cell_angle_beta 90.00
_cell_angle_gamma 90.00
_space_group_name_H-M_alt 'P m -3 m'
_space_group_IT_number 221
_space_group_name_Hall '-P 4 2 3'
loop_
_atom_site_label
_atom_site_type_symbol
_atom_site_fract_x
_atom_site_fract_y
_atom_site_fract_z
Ca1 Ca 0.0000 0.0000 0.0000
Re1 Re 0.5000 0.5000 0.5000
C1 C 0.0000 0.0000 0.5000

---

# CaC3S, single point on PBEsol structure, DFT SCAN
# - Electronic total energy: -7.8911 eV/atom
# - Formation energy (no corrections): 2027 meV per atom
# - D(E_F): 0.5179 states/eV/atom
data_CaC3S
_chemical_formula_sum 'Ca1 C3 S1'
_cell_length_a 3.7396
_cell_length_b 3.7396
_cell_length_c 3.7396
_cell_angle_alpha 90.00
_cell_angle_beta 90.00
_cell_angle_gamma 90.00
_space_group_name_H-M_alt 'P m -3 m'
_space_group_IT_number 221
_space_group_name_Hall '-P 4 2 3'
loop_
_atom_site_label
_atom_site_type_symbol
_atom_site_fract_x
_atom_site_fract_y
_atom_site_fract_z
Ca1 Ca 0.0000 0.0000 0.0000
C1 C 0.0000 0.5000 0.5000
S1 S 0.5000 0.5000 0.5000

---

# CaTiCS2, single point on PBEsol structure, DFT SCAN
# - Electronic total energy: -11.0943 eV/atom
# - Formation energy (no corrections): -85 meV per atom
# - D(E_F): 0.3725 states/eV/atom
data_CaTiCS2
_chemical_formula_sum 'Ca1 Ti1 C1 S2'
_cell_length_a 4.6697
_cell_length_b 4.6697
_cell_length_c 3.8957
_cell_angle_alpha 90.00
_cell_angle_beta 90.00
_cell_angle_gamma 90.00
_space_group_name_H-M_alt 'P 4/m m m'
_space_group_IT_number 123
_space_group_name_Hall '-P 4 2'
loop_
_atom_site_label
_atom_site_type_symbol
_atom_site_fract_x
_atom_site_fract_y
_atom_site_fract_z
Ca1 Ca 0.0000 0.0000 0.0000
Ti1 Ti 0.5000 0.5000 0.0000
C1 C 0.5000 0.5000 0.5000
S1 S 0.0000 0.5000 0.5000

---

# Ca2SbC, single point on PBEsol structure, DFT SCAN
# - Electronic total energy: -16.2623 eV/atom
# - Formation energy (no corrections): 410 meV per atom
# - D(E_F): 0.5665 states/eV/atom
data_Ca2SbC
_chemical_formula_sum 'Ca8 Sb4 C4'
_cell_length_a 7.0804
_cell_length_b 7.0804
_cell_length_c 7.0804
_cell_angle_alpha 90.00
_cell_angle_beta 90.00
_cell_angle_gamma 90.00
_space_group_name_H-M_alt 'F m -3 m'
_space_group_IT_number 225
_space_group_name_Hall '-F 4 2 3'
loop_
_atom_site_label
_atom_site_type_symbol
_atom_site_fract_x
_atom_site_fract_y
_atom_site_fract_z
Ca1 Ca 0.2500 0.2500 0.2500
Sb1 Sb 0.0000 0.0000 0.0000
C1 C 0.0000 0.0000 0.5000

---

# CaSb2TeC, single point on PBEsol structure, DFT SCAN
# - Electronic total energy: -24.4233 eV/atom
# - Formation energy (no corrections): 1884 meV per atom
# - D(E_F): 1.1022 states/eV/atom
data_CaSb2TeC
_chemical_formula_sum 'Ca1 Sb2 Te1 C1'
_cell_length_a 5.6648
_cell_length_b 5.6648
_cell_length_c 5.5504
_cell_angle_alpha 90.00
_cell_angle_beta 90.00
_cell_angle_gamma 90.00
_space_group_name_H-M_alt 'P 4/m m m'
_space_group_IT_number 123
_space_group_name_Hall '-P 4 2'
loop_
_atom_site_label
_atom_site_type_symbol
_atom_site_fract_x
_atom_site_fract_y
_atom_site_fract_z
Ca1 Ca 0.0000 0.0000 0.0000
Sb1 Sb 0.0000 0.5000 0.0000
Te1 Te 0.0000 0.0000 0.5000
C1 C 0.5000 0.5000 0.5000

---

# CaScC3, single point on PBEsol structure, DFT SCAN
# - Polymorph energy (0 for the lowest one): 0.0 kJ per mole of atoms
# - Electronic total energy: -9.3588 eV/atom
# - D(E_F): 0.6660 states/eV/atom
data_CaScC3
_chemical_formula_sum 'Ca1 Sc1 C3'
_cell_length_a 4.1872
_cell_length_b 4.1872
_cell_length_c 4.1872
_cell_angle_alpha 90.00
_cell_angle_beta 90.00
_cell_angle_gamma 90.00
_space_group_name_H-M_alt 'P m -3 m'
_space_group_IT_number 221
_space_group_name_Hall '-P 4 2 3'
loop_
_atom_site_label
_atom_site_type_symbol
_atom_site_fract_x
_atom_site_fract_y
_atom_site_fract_z
Ca1 Ca 0.0000 0.0000 0.0000
Sc1 Sc 0.5000 0.5000 0.5000
C1 C 0.0000 0.5000 0.5000

---

# CaScC3, single point on PBEsol structure, DFT SCAN
# - Polymorph energy (0 for the lowest one): 98.6 kJ per mole of atoms
# - Electronic total energy: -8.3368 eV/atom
# - D(E_F): 0.2906 states/eV/atom
data_CaScC3
_chemical_formula_sum 'Ca1 Sc1 C3'
_cell_length_a 4.1559
_cell_length_b 4.1559
_cell_length_c 4.1559
_cell_angle_alpha 90.00
_cell_angle_beta 90.00
_cell_angle_gamma 90.00
_space_group_name_H-M_alt 'P m -3 m'
_space_group_IT_number 221
_space_group_name_Hall '-P 4 2 3'
loop_
_atom_site_label
_atom_site_type_symbol
_atom_site_fract_x
_atom_site_fract_y
_atom_site_fract_z
Ca1 Ca 0.0000 0.0000 0.0000
Sc1 Sc 0.5000 0.5000 0.5000
C1 C 0.0000 0.0000 0.5000